Entry from OQMD via LeMat-Bulk: a relaxed LaYTl2Zn2 crystal (PBE-GGA).

```
6
Lattice="4.751 0.000 0.000 -2.376 4.115 0.000 0.000 0.000 7.630" Properties=species:S:1:pos:R:3 pbc="T T T"
La 0.000 0.000 0.000
Y 0.000 0.000 3.819
Tl 0.000 2.743 5.852
Tl 2.376 1.372 2.208
Zn 0.000 2.743 1.635
Zn 2.376 1.372 5.253
```

Calculated values
Energy: -20.9 eV per cell
SG: P3m1, No. 156